AcNd3Er2: relaxed, PBE-GGA.

abc: 12.1711 11.6154 6.3626
angles: 79.37 69.71 30.92
Fractional positions:
1 Ac 0.1250 0.1250 0.1250
2 Ac 0.8750 0.8750 0.8750
3 Nd 0.2097 0.2097 0.5403
4 Nd 0.3750 0.3750 0.3750
5 Nd 0.4597 0.4597 0.7903
6 Nd 0.5403 0.5403 0.2097
7 Nd 0.6250 0.6250 0.6250
8 Nd 0.7903 0.7903 0.4597
9 Er 0.0409 0.0409 0.7091
10 Er 0.2909 0.2909 0.9591
11 Er 0.7091 0.7091 0.0409
12 Er 0.9591 0.9591 0.2909

Computed properties:
spin magnetization = 0.00 μB per formula unit
E above lowest polymorph = 0 meV per atom

Ac2Nd6Er3: relaxed, PBE-GGA.

abc: 13.7141 13.7141 13.7141
angles: 24.57 24.57 24.57
Fractional positions:
1 Ac 0.0472 0.0472 0.0472
2 Ac 0.9528 0.9528 0.9528
3 Nd 0.1397 0.1397 0.1397
4 Nd 0.3301 0.3301 0.3301
5 Nd 0.4210 0.4210 0.4210
6 Nd 0.5790 0.5790 0.5790
7 Nd 0.6699 0.6699 0.6699
8 Nd 0.8603 0.8603 0.8603
9 Er 0.2325 0.2325 0.2325
10 Er 0.5000 0.5000 0.5000
11 Er 0.7675 0.7675 0.7675

Computed properties:
spin magnetization = 0.00 μB per formula unit

AcNd2Er6: relaxed, PBE-GGA.

abc: 6.0029 6.6208 9.0303
angles: 80.73 70.87 63.28
Fractional positions:
1 Ac 0.0000 0.0000 0.0000
2 Nd 0.3568 0.1536 0.2462
3 Nd 0.6432 0.8464 0.7538
4 Er 0.0960 0.3108 0.6413
5 Er 0.2684 0.7672 0.5438
6 Er 0.4030 0.4085 0.8669
7 Er 0.5970 0.5915 0.1331
8 Er 0.7316 0.2328 0.4562
9 Er 0.9040 0.6892 0.3587

Computed properties:
spin magnetization = 0.00 μB per formula unit
E above lowest polymorph = 0 meV per atom

Ac2Nd4Er: relaxed, PBE-GGA.

abc: 6.4383 6.4383 8.4273
angles: 97.71 97.71 48.92
Fractional positions:
1 Ac 0.2124 0.2124 0.1453
2 Ac 0.7876 0.7876 0.8547
3 Nd 0.0719 0.0719 0.7077
4 Nd 0.3593 0.3593 0.5740
5 Nd 0.6407 0.6407 0.4260
6 Nd 0.9281 0.9281 0.2923
7 Er 0.5000 0.5000 0.0000

Computed properties:
spin magnetization = 0.00 μB per formula unit
E above lowest polymorph = 0 meV per atom

Number 1: formation enthalpy at 0 K 0.042 eV/atom, E -4.55 eV per atom, N(E_F) 19.92 states/eV per cell. Number 2: formation enthalpy at 0 K 0.107 eV/atom, E -4.49 eV per atom, N(E_F) 18.58 states/eV per cell. Number 3: formation enthalpy at 0 K 0.081 eV/atom, E -4.48 eV per atom, N(E_F) 14.91 states/eV per cell. Number 4: formation enthalpy at 0 K 0.039 eV/atom, E -4.51 eV per atom, N(E_F) 11.51 states/eV per cell.